# 1
VASP calculation (GGA-PBE) on a relaxed Pr5Sm7 crystal.

Space group ... C2/m (12)
Total energy ... -55.0 eV per cell
Magnetic moment ... 0.00 μB per atom
Energy above the most stable polymorph in this dataset ... 0.1578 eV per atom
Calculated volume ... 35.14 Å³ per atom
Fermi-level density of states ... 1.64 states/eV per atom

Cell: 5.9636 5.7101 15.0090 Å, 102.49 90.00 121.48°
Last column: nearest neighbours and their distance in Å.
Sites, in units of the cell vectors:
Sm 0.6785 0.3569 0.0840  6 Pr 3.52-3.80, 3 Sm 3.54-3.74
Sm 0.2472 0.4945 0.6722  5 Pr 3.42-3.73, 4 Sm 3.55-3.79
Sm 0.0368 0.0736 0.2145  5 Pr 3.15-3.36
Pr 0.8683 0.7365 0.5632  5 Sm 3.23-3.47, 1 Pr 3.56
Pr 0.3742 0.7485 0.2006  6 Sm 3.35-3.73
Pr 0.0000 0.0000 0.0000  6 Sm 3.15-3.52
Sm 0.7528 0.5055 0.3278  5 Pr 3.42-3.73, 4 Sm 3.55-3.79
Sm 0.3215 0.6431 0.9160  6 Pr 3.52-3.80, 3 Sm 3.54-3.74
Sm 0.5000 0.0000 0.5000  6 Pr 3.47
Sm 0.9632 0.9264 0.7855  5 Pr 3.15-3.36
Pr 0.6258 0.2515 0.7994  6 Sm 3.35-3.73
Pr 0.1317 0.2635 0.4368  5 Sm 3.23-3.47, 1 Pr 3.56

***

# 2
VASP calculation (GGA-PBE) on a relaxed CaInIr2 crystal.

Space group ... P4mm (99)
Total energy ... -22.5 eV per cell
Magnetic moment ... 0.00 μB per atom
Calculated volume ... 19.06 Å³ per atom
Fermi-level density of states ... 1.24 states/eV per atom

Cell: 2.9964 2.9964 8.4928 Å, 90.00 90.00 90.00°
Last column: nearest neighbours and their distance in Å.
Sites, in units of the cell vectors:
Ca 0.0000 0.0000 0.4725  4 Ca 3.00, 4 Ir 3.03
Ir 0.0000 0.0000 0.0211  8 Ir 2.70-3.00, 4 In 2.90
Ir 0.5000 0.5000 0.2176  8 Ir 2.70-3.00
In 0.5000 0.5000 0.7888  4 Ir 2.90, 4 In 3.00

***

# 3
VASP calculation (GGA-PBE) on a relaxed KAs2Au crystal.

Space group ... Fm-3m (225)
Total energy ... -12.6 eV per cell
Magnetic moment ... 0.00 μB per atom
Energy above the most stable polymorph in this dataset ... 0.4287 eV per atom
Calculated volume ... 21.92 Å³ per atom
Fermi-level density of states ... 0.63 states/eV per atom

Cell: 4.9867 4.9867 4.9867 Å, 60.00 60.00 60.00°
Last column: nearest neighbours and their distance in Å.
Sites, in units of the cell vectors:
Au 0.5000 0.5000 0.5000  8 As 3.05
As 0.2500 0.2500 0.2500  4 Au 3.05, 4 K 3.05
As 0.7500 0.7500 0.7500  4 K 3.05, 4 Au 3.05
K 0.0000 0.0000 0.0000  8 As 3.05

***

# 4
VASP calculation (GGA-PBE) on a relaxed Ba2NdSn3Rh4 crystal.

Space group ... P-4m2 (115)
Total energy ... -56.2 eV per cell
Magnetic moment ... 0.00 μB per atom
Calculated volume ... 24.79 Å³ per atom
Fermi-level density of states ... 0.74 states/eV per atom

Cell: 4.6298 4.6298 11.5667 Å, 90.00 90.00 90.00°
Last column: nearest neighbours and their distance in Å.
Sites, in units of the cell vectors:
Nd 0.5000 0.5000 0.5000  4 Rh 2.84
Sn 0.0000 0.5000 0.1171  5 Rh 2.68-2.77
Sn 0.0000 0.0000 0.5000  4 Rh 2.84
Sn 0.5000 0.0000 0.8829  5 Rh 2.68-2.77
Rh 0.0000 0.0000 0.0000  4 Sn 2.68
Rh 0.5000 0.5000 0.0000  4 Sn 2.68
Rh 0.5000 0.0000 0.6430  3 Sn 2.77-2.84, 2 Nd 2.84
Rh 0.0000 0.5000 0.3570  3 Sn 2.77-2.84, 2 Nd 2.84
Ba 0.0000 0.5000 0.7641  6 Sn 3.55-3.83, 8 Rh 3.56-3.58, 2 Nd 3.83
Ba 0.5000 0.0000 0.2359  6 Sn 3.55-3.83, 8 Rh 3.56-3.58, 2 Nd 3.83

***

# 5
VASP calculation (GGA-PBE) on a relaxed Ac2DyP2N6 crystal.

Space group ... P-3 (147)
Total energy ... -83.7 eV per cell
Magnetic moment ... 0.02 μB per atom
Calculated volume ... 16.71 Å³ per atom
Fermi-level density of states ... 0.27 states/eV per atom
Energy relative to the elements, uncorrected ... -0.916 eV/atom

Cell: 5.8314 5.8314 6.2432 Å, 90.00 90.00 120.00°
Last column: nearest neighbours and their distance in Å.
Sites, in units of the cell vectors:
P 0.6667 0.3333 0.1873  3 N 1.61
N 0.2419 0.8792 0.7626  1 P 1.61
P 0.3333 0.6667 0.8127  3 N 1.61
Ac 0.3333 0.6667 0.3195  3 N 2.62
Dy 0.0000 0.0000 0.0000  6 N 2.38
Ac 0.6667 0.3333 0.6805  3 N 2.62
N 0.6373 0.7581 0.7626  1 P 1.61
N 0.8792 0.6373 0.2374  1 P 1.61
N 0.3627 0.2419 0.2374  1 P 1.61
N 0.7581 0.1208 0.2374  1 P 1.61
N 0.1208 0.3627 0.7626  1 P 1.61

***

# 6
VASP calculation (GGA-PBE) on a relaxed CdAgSeN2 crystal.

Space group ... P4/mmm (123)
Total energy ... -16.2 eV per cell
Magnetic moment ... 0.68 μB per atom
Energy above the most stable polymorph in this dataset ... 0.0000 eV per atom
Calculated volume ... 19.42 Å³ per atom
Fermi-level density of states ... 0.36 states/eV per atom
Energy relative to the elements, uncorrected ... 1.536 eV/atom

Cell: 4.1187 4.1187 5.7227 Å, 90.00 90.00 90.00°
Last column: nearest neighbours and their distance in Å.
Sites, in units of the cell vectors:
Se 0.0000 0.0000 0.5000  2 Ag 2.86, 4 Cd 2.91
N 0.5000 0.0000 0.0000  2 Ag 2.06
N 0.0000 0.5000 0.0000  2 Ag 2.06
Ag 0.0000 0.0000 0.0000  4 N 2.06
Cd 0.5000 0.5000 0.5000  4 Se 2.91

***

# 7
VASP calculation (GGA-PBE) on a relaxed HWAu crystal.

Space group ... P-1 (2)
Total energy ... -38.4 eV per cell
Magnetic moment ... 0.00 μB per atom
Energy above the most stable polymorph in this dataset ... 0.0000 eV per atom
Calculated volume ... 12.33 Å³ per atom
Fermi-level density of states ... 0.22 states/eV per atom

Cell: 3.0312 3.0546 10.3049 Å, 106.95 116.11 60.10°
Last column: nearest neighbours and their distance in Å.
Sites, in units of the cell vectors:
W 0.5168 0.6289 0.8866  3 H 1.85-1.86
W 0.4832 0.3711 0.1134  3 H 1.85-1.86
H 0.7625 0.9427 0.8216  3 W 1.85-1.86
Au 0.8359 0.2101 0.6256  3 H 2.51-2.53
H 0.2375 0.0573 0.1784  3 W 1.85-1.86
Au 0.1641 0.7899 0.3744  3 H 2.51-2.53

***

# 8
VASP calculation (GGA-PBE) on a relaxed SrCa3La2Sb2O12 crystal.

Space group ... P1 (1)
Total energy ... -138.9 eV per cell
Magnetic moment ... 0.00 μB per atom
Calculated volume ... 14.28 Å³ per atom
Fermi-level density of states ... 0.00 states/eV per atom
Energy relative to the elements, uncorrected ... -2.680 eV/atom

Cell: 5.7611 5.9716 8.3012 Å, 90.03 90.08 90.11°
Last column: nearest neighbours and their distance in Å.
Sites, in units of the cell vectors:
Sb 0.5019 0.9980 0.4962  6 O 2.01-2.04
La 0.9830 0.0512 0.7475  5 O 2.39-2.65
O 0.8875 0.5567 0.2310  1 Sb 2.03
La 0.4857 0.4444 0.2456  5 O 2.41-2.65
O 0.6883 0.2715 0.5597  1 Sb 2.02
O 0.3275 0.7165 0.4346  1 Sb 2.02
O 0.7843 0.8166 0.5544  1 Sb 2.01
O 0.2846 0.6798 0.0524  1 Sb 2.01
O 0.7145 0.3138 0.9605  1 Sb 2.00
Ca 0.4987 0.9946 0.0022  6 O 2.28-2.38
Ca 0.0128 0.9522 0.2505  4 O 2.36-2.47
Sr 0.5130 0.5469 0.7506  6 O 2.50-2.78
O 0.1793 0.2227 0.0679  1 Sb 2.04
O 0.8281 0.7858 0.9379  1 Sb 2.03
Ca 0.0002 0.5031 0.4978  6 O 2.30-2.35
Sb 0.9972 0.5012 0.0027  6 O 2.00-2.04
O 0.6153 0.0455 0.2686  1 Sb 2.02
O 0.3860 0.9643 0.7273  1 Sb 2.04
O 0.2218 0.1850 0.4421  1 Sb 2.01
O 0.0903 0.4500 0.7707  1 Sb 2.02

***

# 9
VASP calculation (GGA-PBE) on a relaxed RbCeAg2Cl8 crystal.

Space group ... P-1 (2)
Total energy ... -42.8 eV per cell
Magnetic moment ... 0.00 μB per atom
Calculated volume ... 31.87 Å³ per atom
Fermi-level density of states ... 0.33 states/eV per atom
Energy relative to the elements, uncorrected ... -1.288 eV/atom

Cell: 6.7973 6.4803 9.3196 Å, 72.97 77.88 90.88°
Last column: nearest neighbours and their distance in Å.
Sites, in units of the cell vectors:
Ce 0.0000 0.0000 0.0000  6 Cl 2.63-2.67
Ag 0.6282 0.5277 0.3055  3 Cl 2.46-2.58
Ag 0.3718 0.4723 0.6945  3 Cl 2.46-2.58
Rb 0.0000 0.0000 0.5000  6 Cl 3.32-3.72
Cl 0.1663 0.7657 0.8269  1 Ce 2.63, 1 Ag 2.80
Cl 0.9389 0.2865 0.7471  1 Ce 2.65
Cl 0.4935 0.2154 0.5341  2 Ag 2.46-2.58
Cl 0.8337 0.2343 0.1731  1 Ce 2.63, 1 Ag 2.80
Cl 0.6491 0.7771 0.0389  1 Ag 2.51, 1 Ce 2.67
Cl 0.5065 0.7846 0.4659  2 Ag 2.46-2.58
Cl 0.3509 0.2229 0.9611  1 Ag 2.51, 1 Ce 2.67
Cl 0.0611 0.7135 0.2529  1 Ce 2.65

***

# 10
VASP calculation (GGA-PBE) on a relaxed BaMnIr crystal.

Space group ... P6_3/mmc (194)
Total energy ... -38.5 eV per cell
Magnetic moment ... 0.00 μB per atom
Energy above the most stable polymorph in this dataset ... 0.2252 eV per atom
Calculated volume ... 24.74 Å³ per atom
Fermi-level density of states ... 1.13 states/eV per atom

Cell: 4.0275 4.0275 10.5681 Å, 90.00 90.00 120.00°
Last column: nearest neighbours and their distance in Å.
Sites, in units of the cell vectors:
Ba 0.0000 0.0000 0.0000  6 Mn 3.52, 6 Ir 3.52
Ir 0.3333 0.6667 0.7500  3 Mn 2.33
Ba 0.0000 0.0000 0.5000  6 Mn 3.52, 6 Ir 3.52
Ir 0.6667 0.3333 0.2500  3 Mn 2.33
Mn 0.3333 0.6667 0.2500  3 Ir 2.33
Mn 0.6667 0.3333 0.7500  3 Ir 2.33

***

# 11
VASP calculation (GGA-PBE) on a relaxed La2HoF11 crystal.

Space group ... Ibam (72)
Total energy ... -166.8 eV per cell
Magnetic moment ... 0.15 μB per atom
Calculated volume ... 18.92 Å³ per atom
Fermi-level density of states ... 0.82 states/eV per atom
Energy relative to the elements, uncorrected ... -3.455 eV/atom

Cell: 8.8423 8.9229 8.9229 Å, 72.63 60.30 60.30°
Last column: nearest neighbours and their distance in Å.
Sites, in units of the cell vectors:
F 0.1033 0.1838 0.8162  1 F 2.15, 1 La 2.39
Ho 0.7500 0.7500 0.7500  8 F 2.27
La 0.6703 0.6921 0.3079  7 F 2.34-2.53
F 0.5524 0.0181 0.6837  1 Ho 2.27, 1 La 2.34
F 0.8967 0.8162 0.1838  1 F 2.15, 1 La 2.39
F 0.3273 0.2951 0.4347  1 Ho 2.27, 1 La 2.34
F 0.5000 0.5000 0.5000  2 F 2.15
F 0.0524 0.1837 0.5181  1 Ho 2.27, 1 La 2.34
La 0.3297 0.3079 0.6921  7 F 2.34-2.53
F 0.9476 0.8163 0.4819  1 Ho 2.27, 1 La 2.34
F 0.4429 0.7951 0.9347  1 Ho 2.27, 1 La 2.34
F 0.0572 0.5653 0.7049  1 Ho 2.27, 1 La 2.34
La 0.1703 0.8079 0.1921  7 F 2.34-2.53
F 0.7458 0.6837 0.0181  1 Ho 2.27, 1 La 2.34
F 0.3967 0.6838 0.3162  1 F 2.15, 1 La 2.39
Ho 0.2500 0.2500 0.2500  8 F 2.27
F 0.5571 0.2049 0.0653  1 Ho 2.27, 1 La 2.34
La 0.8297 0.1921 0.8079  7 F 2.34-2.53
F 0.4476 0.9819 0.3163  1 Ho 2.27, 1 La 2.34
F 0.9429 0.4347 0.2951  1 Ho 2.27, 1 La 2.34
F 0.6727 0.7049 0.5653  1 Ho 2.27, 1 La 2.34
F 0.7542 0.4819 0.8163  1 Ho 2.27, 1 La 2.34
F 0.2542 0.3163 0.9819  1 Ho 2.27, 1 La 2.34
F 0.6033 0.3162 0.6838  1 F 2.15, 1 La 2.39
F 0.8273 0.9347 0.7951  1 Ho 2.27, 1 La 2.34
F 0.2458 0.5181 0.1837  1 Ho 2.27, 1 La 2.34
F 0.0000 0.0000 0.0000  2 F 2.15
F 0.1727 0.0653 0.2049  1 Ho 2.27, 1 La 2.34

***

# 12
VASP calculation (GGA-PBE) on a relaxed FeRuW2 crystal.

Space group ... P4/mmm (123)
Total energy ... -43.2 eV per cell
Magnetic moment ... 0.32 μB per atom
Energy above the most stable polymorph in this dataset ... 0.0015 eV per atom
Calculated volume ... 14.37 Å³ per atom
Fermi-level density of states ... 0.91 states/eV per atom

Cell: 3.8694 3.8694 3.8401 Å, 90.00 90.00 90.00°
Last column: nearest neighbours and their distance in Å.
Sites, in units of the cell vectors:
W 0.0000 0.0000 0.0000  4 Fe 2.73, 4 Ru 2.73, 4 W 2.74
Fe 0.5000 0.0000 0.5000  8 W 2.73, 4 Ru 2.74
W 0.5000 0.5000 0.0000  4 Fe 2.73, 4 Ru 2.73, 4 W 2.74
Ru 0.0000 0.5000 0.5000  8 W 2.73, 4 Fe 2.74